# Li4Mn3Cr3Co2O16

A geometry-optimized Li4Mn3Cr3Co2O16 structure (GGA+U, the Alexandria database).

Values from the calculation:
The space group is Cm, No. 8. The energy is -6.667 eV per atom. The value obtained for the total magnetic moment is 20.92 μB/f.u.

Cell: 5.8345 5.8345 9.6675 Å, 90.24 90.24 59.95°
With the nearest neighbours (Å) after each atom.
Fractional coordinates of all 28 atoms:
Li 0.0000 0.0000 0.0000  4 O 1.77-1.92
Li 0.0011 0.0011 0.4994  4 O 1.79-1.93
Li 0.3320 0.3320 0.1038  4 O 1.96-2.07
Li 0.6664 0.6664 0.6019  4 O 1.96-2.03
Mn 0.1678 0.6615 0.7825  6 O 1.93-1.97
Mn 0.6615 0.1678 0.7825  6 O 1.93-1.97
Mn 0.8287 0.8287 0.2821  6 O 1.92-1.98
Cr 0.1675 0.1675 0.7836  6 O 1.93-2.00
Cr 0.3343 0.8271 0.2830  6 O 1.92-1.99
Cr 0.8271 0.3343 0.2830  6 O 1.92-1.99
Co 0.3301 0.3301 0.5076  6 O 2.08-2.17
Co 0.6672 0.6672 0.0035  6 O 2.07-2.24
O 0.0332 0.4797 0.6701  1 Cr 1.93, 1 Mn 1.93, 1 Li 1.96
O 0.1587 0.1587 0.3877  1 Li 1.93, 2 Cr 1.96, 1 Co 2.08
O 0.1596 0.6828 0.3908  1 Li 1.92, 1 Cr 1.93, 1 Mn 1.98, 1 Co 2.11
O 0.3170 0.8426 0.8904  1 Li 1.92, 1 Cr 1.94, 1 Mn 1.97, 1 Co 2.08
O 0.3374 0.3374 0.8900  2 Mn 1.94, 1 Cr 2.00, 1 Li 2.07
O 0.4797 0.0332 0.6701  1 Cr 1.93, 1 Mn 1.93, 1 Li 1.96
O 0.4802 0.4802 0.6653  2 Mn 1.95, 1 Li 1.98, 1 Co 2.15
O 0.5148 0.5148 0.1709  2 Cr 1.92, 1 Li 1.96
O 0.5145 0.9608 0.1669  1 Mn 1.94, 1 Cr 1.95, 1 Li 1.97, 1 Co 2.16
O 0.6694 0.6694 0.3916  1 Mn 1.93, 2 Cr 1.99, 1 Li 2.03
O 0.6828 0.1596 0.3908  1 Li 1.92, 1 Cr 1.93, 1 Mn 1.98, 1 Co 2.11
O 0.8412 0.8412 0.8914  1 Li 1.91, 2 Mn 1.96, 1 Co 2.07
O 0.8426 0.3170 0.8904  1 Li 1.92, 1 Cr 1.94, 1 Mn 1.97, 1 Co 2.08
O 0.9608 0.5145 0.1669  1 Mn 1.94, 1 Cr 1.95, 1 Li 1.97, 1 Co 2.16
O 0.9928 0.9928 0.1833  1 Li 1.77, 1 Mn 1.92, 2 Cr 1.97
O 0.9947 0.9947 0.6847  1 Li 1.79, 2 Mn 1.93, 1 Cr 1.99